# Ho2C2S5, relaxed, DFT PBE
data_Ho2C2S5
_chemical_formula_sum 'Ho6 C6 S15'
_cell_length_a 3.9922
_cell_length_b 3.9922
_cell_length_c 43.4640
_cell_angle_alpha 90.00
_cell_angle_beta 90.00
_cell_angle_gamma 120.00
_space_group_name_H-M_alt 'R 3 m'
_space_group_IT_number 160
_space_group_name_Hall 'R 3 -2"'
loop_
_atom_site_label
_atom_site_fract_x
_atom_site_fract_y
_atom_site_fract_z
_atom_site_occupancy
Ho1 0.0000 0.0000 0.0000 1
Ho2 0.0000 0.0000 0.1681 1
C1 0.0000 0.0000 0.5852 1
C2 0.0000 0.0000 0.7670 1
S1 0.0000 0.0000 0.0951 1
S2 0.0000 0.0000 0.2259 1
S3 0.0000 0.0000 0.6925 1
S4 0.0000 0.0000 0.8097 1
S5 0.0000 0.0000 0.9412 1
# * total magnetic moment: 0.0 μB/f.u.
# * E: -5.0427 eV/atom

# BaErAuO3, relaxed, DFT PBE
data_BaErAuO3
_chemical_formula_sum 'Ba4 Er4 Au4 O12'
_cell_length_a 3.6712
_cell_length_b 13.6310
_cell_length_c 8.6842
_cell_angle_alpha 90.00
_cell_angle_beta 90.00
_cell_angle_gamma 90.00
_space_group_name_H-M_alt 'C m c m'
_space_group_IT_number 63
_space_group_name_Hall '-C 2c 2'
loop_
_atom_site_label
_atom_site_fract_x
_atom_site_fract_y
_atom_site_fract_z
_atom_site_occupancy
Ba1 0.0000 0.1851 0.2500 1
Er1 0.0000 0.5000 0.0000 1
Au1 0.0000 0.1121 0.7500 1
O1 0.0000 0.1051 0.5175 1
O2 0.0000 0.4452 0.7500 1
# * total magnetic moment: 0.0 μB/f.u.
# * E: -6.3973 eV/atom

# CsTePdAuS2, relaxed, DFT PBE
data_CsTePdAuS2
_chemical_formula_sum 'Cs4 Te4 Pd4 Au4 S8'
_cell_length_a 3.6687
_cell_length_b 17.6856
_cell_length_c 10.7132
_cell_angle_alpha 90.00
_cell_angle_beta 90.00
_cell_angle_gamma 90.00
_space_group_name_H-M_alt 'C m c m'
_space_group_IT_number 63
_space_group_name_Hall '-C 2c 2'
loop_
_atom_site_label
_atom_site_fract_x
_atom_site_fract_y
_atom_site_fract_z
_atom_site_occupancy
Cs1 0.0000 0.2402 0.2500 1
Te1 0.0000 0.4443 0.7500 1
Pd1 0.0000 0.5000 0.0000 1
Au1 0.0000 0.0913 0.7500 1
S1 0.0000 0.0896 0.5314 1
# * E: -3.7822 eV/atom

# Zr2Os2O5, relaxed, DFT PBE
data_Zr2Os2O5
_chemical_formula_sum 'Zr2 Os2 O5'
_cell_length_a 3.4630
_cell_length_b 3.4630
_cell_length_c 9.0501
_cell_angle_alpha 90.00
_cell_angle_beta 90.00
_cell_angle_gamma 90.00
_space_group_name_H-M_alt 'P 4/m m m'
_space_group_IT_number 123
_space_group_name_Hall '-P 4 2'
loop_
_atom_site_label
_atom_site_fract_x
_atom_site_fract_y
_atom_site_fract_z
_atom_site_occupancy
Zr1 0.0000 0.0000 0.2271 1
Os1 0.5000 0.5000 0.0000 1
Os2 0.5000 0.5000 0.5000 1
O1 0.0000 0.0000 0.0000 1
O2 0.0000 0.5000 0.3669 1
# * total magnetic moment: 0.4 μB/f.u.
# * E above lowest polymorph: 0 meV per atom